Tc3MoN | Alexandria via LeMat-Bulk | PBE-GGA | optimized geometry; crystal system = cubic; formation energy (no corrections) = 2.881 eV per atom
1.0
4.695 0.000 0.000
0.000 4.695 0.000
0.000 0.000 4.695
Mo Tc N
1 3 1
Cartesian
0.000 0.000 0.000
0.000 2.348 0.000
2.348 0.000 0.000
0.000 0.000 2.348
2.348 2.348 2.348



CeLuFe | Alexandria via LeMat-Bulk | PBE-GGA | optimized geometry; crystal system = trigonal; DFT formation energy = 0.110 eV per atom
1.0
4.914 0.000 0.000
0.000 4.016 0.000
0.000 -2.008 3.478
Ce Lu Fe
1 1 1
Cartesian
0.833 0.000 2.319
3.298 2.008 1.159
0.783 0.000 0.000



SrCo2H | Alexandria via LeMat-Bulk | PBE-GGA | optimized geometry; crystal system = cubic; raw total energy = -13.7 eV per formula unit
1.0
3.551 -1.109 -2.423
2.052 -3.872 0.713
-0.292 -3.254 -3.007
Co H Sr
2 1 1
Cartesian
3.984 -6.177 -3.538
1.328 -2.059 -1.179
0.000 0.000 0.000
2.656 -4.118 -2.359



CeNdYTh | Alexandria via LeMat-Bulk | PBE-GGA | optimized geometry; crystal system = cubic; DFT formation energy = 0.224 eV per atom
1.0
5.695 0.000 0.000
2.848 4.932 0.000
2.848 1.644 4.650
Ce Nd Th Y
1 1 1 1
Cartesian
2.848 1.644 1.163
0.000 0.000 0.000
5.695 3.288 2.325
8.543 4.932 3.488



Ge2BiS4 | Alexandria via LeMat-Bulk | PBE-GGA | optimized geometry; crystal system = tetragonal; formation energy (no corrections) = -0.086 eV per atom
1.0
6.242 -0.036 0.000
-3.038 5.454 0.000
-1.602 -2.709 5.391
Bi S Ge
1 4 2
Cartesian
1.602 2.709 0.000
0.824 3.169 2.684
-2.310 1.367 4.486
0.779 -0.461 2.707
3.912 1.342 0.905
-1.519 2.727 2.696
3.121 -0.018 2.696



Ca2Cd3PdAu12 | Alexandria via LeMat-Bulk | PBE-GGA | optimized geometry; crystal system = trigonal; DFT formation energy = -0.211 eV per atom
1.0
7.060 -1.441 -1.022
2.234 6.850 -1.022
2.234 1.300 6.803
Au Ca Cd Pd
12 2 3 1
Cartesian
3.432 4.664 3.308
3.483 4.900 0.432
5.547 6.101 4.328
5.776 3.362 5.210
5.751 3.348 -0.451
5.751 0.681 3.308
8.095 2.045 1.451
8.045 1.810 4.328
5.776 6.029 1.451
3.483 2.027 4.482
8.045 4.683 0.278
5.980 0.609 0.432
3.602 2.097 1.487
7.925 4.613 3.272
1.117 3.425 -0.511
3.530 -0.720 -0.511
1.117 0.650 3.401
0.000 0.000 0.000



Cs2AcTbSe4 | Alexandria via LeMat-Bulk | PBE-GGA | optimized geometry; crystal system = monoclinic; formation energy (no corrections) = -1.753 eV per atom
1.0
4.463 0.000 0.000
0.000 7.738 0.142
0.000 -2.717 8.368
Tb Cs Se Ac
1 2 4 1
Cartesian
2.232 3.869 0.071
2.232 -1.359 4.184
0.000 2.510 4.255
0.000 0.006 6.841
2.232 1.394 1.656
0.000 5.015 1.670
2.232 3.626 6.854
0.000 0.000 0.000



PuMgPb | Alexandria via LeMat-Bulk | PBE-GGA | optimized geometry; crystal system = cubic; DFT formation energy = 0.086 eV per atom
1.0
-1.838 -4.479 -1.650
3.075 -3.287 -2.430
1.419 -4.347 2.292
Mg Pb Pu
1 1 1
Cartesian
1.328 -6.057 -0.894
0.664 -3.028 -0.447
0.000 0.000 0.000



SrCoSi2 | Alexandria via LeMat-Bulk | PBE-GGA | optimized geometry; crystal system = orthorhombic; formation energy (no corrections) = -0.047 eV per atom
1.0
5.115 -0.010 0.006
-0.063 5.114 -0.006
-1.474 -3.593 3.328
Si Co Sr
2 1 1
Cartesian
2.071 2.092 0.000
0.455 0.460 0.000
0.495 2.037 1.661
3.083 -0.526 1.667



PmPr2Dy2Ho2 | Alexandria via LeMat-Bulk | PBE-GGA | optimized geometry; crystal system = monoclinic; DFT formation energy = 0.149 eV per atom
1.0
3.512 0.000 0.000
-1.756 9.073 -1.072
0.000 -3.262 7.844
Ho Pr Dy Pm
2 2 2 1
Cartesian
0.000 5.299 5.076
1.756 0.512 1.696
1.756 -0.303 6.834
0.000 6.114 -0.061
0.000 1.800 4.428
1.756 4.011 2.344
0.000 -1.631 3.922



Ce3GaBr3 | Alexandria via LeMat-Bulk | PBE-GGA | optimized geometry; crystal system = cubic; formation energy (no corrections) = -1.172 eV per atom
1.0
-5.039 -3.251 -0.579
0.593 -1.931 5.676
-3.249 4.690 1.935
Br Ce Ga
3 3 1
Cartesian
-2.520 -1.626 -0.290
0.297 -0.966 2.838
-1.624 2.345 0.968
-1.328 1.380 3.806
-4.144 0.720 0.678
-2.223 -2.591 2.548
-3.847 -0.246 3.516



Li2Dy2TmMg5 | Alexandria via LeMat-Bulk | PBE-GGA | optimized geometry; crystal system = tetragonal; DFT formation energy = -0.018 eV per atom
1.0
4.413 0.000 0.000
0.000 10.502 0.000
0.000 0.000 10.502
Mg Tm Dy Li
10 2 4 4
Cartesian
2.207 9.834 2.232
2.207 3.019 5.919
2.207 4.583 3.019
2.207 7.483 4.583
2.207 5.919 7.483
2.207 5.251 0.000
2.207 2.232 0.668
2.207 8.270 9.834
2.207 0.000 5.251
2.207 0.668 8.270
0.000 5.251 5.251
0.000 0.000 0.000
0.000 1.888 3.363
0.000 7.139 1.888
0.000 3.363 8.614
0.000 8.614 7.139
0.000 6.461 9.292
0.000 1.210 6.461
0.000 4.041 1.210
0.000 9.292 4.041



NaSrCd2Cu | Alexandria via LeMat-Bulk | PBE-GGA | optimized geometry; crystal system = tetragonal; DFT formation energy = -0.019 eV per atom
1.0
-4.249 1.885 -2.212
-2.798 -3.711 2.214
-0.798 3.087 4.165
Sr Cu Cd Na
1 1 2 1
Cartesian
-3.923 0.631 2.084
0.000 0.000 0.000
-2.125 0.943 -1.106
-1.399 -1.855 1.107
-0.399 1.544 2.083



Li3Nd2ZrSe6 | Alexandria via LeMat-Bulk | PBE-GGA | optimized geometry; crystal system = monoclinic; formation energy (no corrections) = -1.524 eV per atom
1.0
-2.476 5.253 3.975
-2.900 -6.398 0.421
6.010 -1.216 3.270
Se Nd Li Zr
6 2 3 1
Cartesian
-2.621 -1.194 4.226
0.447 0.053 6.301
0.186 -2.414 1.364
0.319 1.225 2.474
0.314 -3.586 5.191
3.254 -1.167 3.439
-2.759 -2.523 1.603
-2.617 1.378 2.793
0.317 -1.181 3.833
0.174 -5.111 2.634
0.459 2.750 5.032
0.000 0.000 0.000



Na2TlSe2O6 | Alexandria via LeMat-Bulk | PBE-GGA | optimized geometry; crystal system = triclinic; formation energy (no corrections) = -1.087 eV per atom
1.0
6.315 -0.687 -1.027
2.454 5.353 0.218
-0.583 -2.516 5.147
Tl O Na Se
1 6 2 2
Cartesian
2.866 -1.601 2.060
3.131 2.719 2.936
4.297 -2.460 3.969
3.890 4.611 0.369
5.055 -0.568 1.402
6.069 1.819 0.474
2.118 0.331 3.863
0.053 -0.895 4.212
8.134 3.045 0.125
3.507 1.350 3.959
4.680 0.801 0.378



| no. | calculated volume (A^3/atom) |
| --- | --- |
| 1 | 20.70 |
| 2 | 22.88 |
| 3 | 15.47 |
| 4 | 32.66 |
| 5 | 26.13 |
| 6 | 20.90 |
| 7 | 36.34 |
| 8 | 31.54 |
| 9 | 21.75 |
| 10 | 33.96 |
| 11 | 31.24 |
| 12 | 24.34 |
| 13 | 27.80 |
| 14 | 23.38 |
| 15 | 17.21 |